[1]
First-principles (PBE) data for SnGeS3 after structural relaxation, as listed in the Alexandria database.

a b c (Å): 3.7492 7.2499 13.5958
angles (deg): 90.00 90.00 90.00
Space group Amm2 (No. 38)
Unique sites:
1 Sn 0.0000 0.0000 0.0000 (multiplicity 2)
2 Ge 0.5000 0.0000 0.6481 (multiplicity 2)
3 S 0.0000 0.2266 0.6034 (multiplicity 4)
4 S 0.5000 0.0000 0.8845 (multiplicity 2)

- relative energy among the computed polymorphs (eV per atom) = 0.249
- mass density (g/cm³) = 2.6
- formation energy without anion corrections (eV per formula unit) = -0.702
- total magnetization (μB per cell) = 0.0

[2]
First-principles (PBE) data for Sn3Ge5S12 after structural relaxation, as listed in the Alexandria database.

a b c (Å): 15.4509 15.4509 15.4509
angles (deg): 90.00 90.00 90.00
Space group Ia-3d (No. 230)
Unique sites:
1 Sn 0.0000 0.2500 0.1250 (multiplicity 24)
2 Ge 0.0000 0.0000 0.0000 (multiplicity 16)
3 Ge 0.0000 0.2500 0.3750 (multiplicity 24)
4 S 0.0322 0.0583 0.6529 (multiplicity 96)

- mass density (g/cm³) = 4.0
- formation energy without anion corrections (eV per formula unit) = -4.576
- total magnetization (μB per cell) = 0.0

[3]
First-principles (PBE) data for Sn2Ge2S5 after structural relaxation, as listed in the Alexandria database.

a b c (Å): 13.7793 5.4550 5.9091
angles (deg): 90.00 100.33 90.00
Space group C2/m (No. 12)
Unique sites:
1 Sn 0.1242 0.0000 0.3749 (multiplicity 4)
2 Ge 0.1602 0.5000 0.9012 (multiplicity 4)
3 S 0.0000 0.5000 0.0000 (multiplicity 2)
4 S 0.1695 0.0000 0.9338 (multiplicity 4)
5 S 0.1770 0.5000 0.5156 (multiplicity 4)

- mass density (g/cm³) = 4.1
- formation energy without anion corrections (eV per formula unit) = -2.087
- total magnetization (μB per cell) = 0.0

[4]
First-principles (PBE) data for Sn2GeS after structural relaxation, as listed in the Alexandria database.

a b c (Å): 7.0941 7.0941 7.0941
angles (deg): 90.00 90.00 90.00
Space group Fm-3m (No. 225)
Unique sites:
1 Sn 0.2500 0.2500 0.2500 (multiplicity 8)
2 Ge 0.0000 0.0000 0.0000 (multiplicity 4)
3 S 0.0000 0.0000 0.5000 (multiplicity 4)

- relative energy among the computed polymorphs (eV per atom) = 0.119
- mass density (g/cm³) = 6.4
- formation energy without anion corrections (eV per formula unit) = 0.555
- total magnetization (μB per cell) = 0.0

[5]
First-principles (PBE) data for Sn2GeS4 after structural relaxation, as listed in the Alexandria database.

a b c (Å): 9.6279 7.7354 6.1877
angles (deg): 90.00 119.13 90.00
Space group Cm (No. 8)
Unique sites:
1 Sn 0.0000 0.2369 0.0000 (multiplicity 4)
2 Ge 0.1165 0.5000 0.5118 (multiplicity 2)
3 S 0.1469 0.5000 0.9007 (multiplicity 2)
4 S 0.2194 0.2517 0.4854 (multiplicity 4)
5 S 0.3775 0.0000 0.1507 (multiplicity 2)

- relative energy among the computed polymorphs (eV per atom) = 0.008
- mass density (g/cm³) = 3.6
- formation energy without anion corrections (eV per formula unit) = -2.416
- total magnetization (μB per cell) = 0.0

[6]
First-principles (PBE) data for SnGeS2 after structural relaxation, as listed in the Alexandria database.

a b c (Å): 3.7171 3.7171 24.8630
angles (deg): 90.00 90.00 120.00
Space group R-3m (No. 166, hexagonal axes)
Unique sites:
1 Sn 0.0000 0.0000 0.0000 (multiplicity 3)
2 Ge 0.0000 0.0000 0.5000 (multiplicity 3)
3 S 0.0000 0.0000 0.3967 (multiplicity 6)

- mass density (g/cm³) = 4.3
- formation energy without anion corrections (eV per formula unit) = -0.190
- total magnetization (μB per cell) = 0.0

[7]
First-principles (PBE) data for SnGeS2 after structural relaxation, as listed in the Alexandria database.

a b c (Å): 3.9262 5.6780 4.1931
angles (deg): 90.00 90.00 90.00
Space group Pmm2 (No. 25)
Unique sites:
1 Sn 0.0000 0.0000 0.0000 (multiplicity 1)
2 Ge 0.5000 0.5000 0.4674 (multiplicity 1)
3 S 0.0000 0.5000 0.0867 (multiplicity 1)
4 S 0.5000 0.0000 0.5237 (multiplicity 1)

- mass density (g/cm³) = 4.5
- formation energy without anion corrections (eV per formula unit) = -1.148
- total magnetization (μB per cell) = 0.0

[8]
First-principles (PBE) data for Sn2Ge2S after structural relaxation, as listed in the Alexandria database.

a b c (Å): 7.5265 7.5265 4.1359
angles (deg): 90.00 90.00 90.00
Space group P4/mbm (No. 127)
Unique sites:
1 Sn 0.1410 0.3590 0.0000 (multiplicity 4)
2 Ge 0.1758 0.6758 0.5000 (multiplicity 4)
3 S 0.0000 0.0000 0.5000 (multiplicity 2)

- relative energy among the computed polymorphs (eV per atom) = 0.044
- mass density (g/cm³) = 5.9
- formation energy without anion corrections (eV per formula unit) = 1.097
- total magnetization (μB per cell) = 0.0

Which formula does entry 1 have? SnGeS3

Which value of total magnetization does entry 7 give? 0.0 μB per cell

Among the records above, which one has the lowest formation energy without anion corrections? Sn3Ge5S12